Below is a relaxed V6SbO12 crystal, with properties calculated at the PBE with a Hubbard U level.

Lattice parameters (Å, degrees): 5.959 5.959 5.959 99.46 99.46 99.46
Positions (direct):
V  0.106  0.645  0.822
V  0.178  0.894  0.355
V  0.355  0.178  0.894
V  0.645  0.822  0.106
V  0.822  0.106  0.645
V  0.894  0.355  0.178
Sb  0.500  0.500  0.500
O  0.077  0.921  0.676
O  0.079  0.324  0.923
O  0.180  0.556  0.406
O  0.324  0.923  0.079
O  0.406  0.180  0.556
O  0.444  0.594  0.820
O  0.556  0.406  0.180
O  0.594  0.820  0.444
O  0.676  0.077  0.921
O  0.820  0.444  0.594
O  0.921  0.676  0.077
O  0.923  0.079  0.324

Calculated values
DOS at the Fermi energy: 0.322 states/eV/atom
Total moment: 11.00 Bohr magnetons per cell
Space-group type: R-3, No. 148
Total energy: -144.703 eV per cell